(1)
Entry from the Alexandria database: crystalline Cs8Rb6H at its relaxed geometry (PBE-GGA).

Results
DOS(E_F)	11.74	states/eV/cell
energy	-1.07	eV/atom
space-group type	R-3, No. 148

Geometry as POSCAR:
```
Cs8Rb6H
1.0
6.823 3.939 8.472
-6.823 3.939 8.472
0.000 -7.879 8.472
Cs Rb H
8 6 1
direct
0.203 0.602 0.466
0.241 0.241 0.241
0.398 0.534 0.797
0.466 0.203 0.602
0.534 0.797 0.398
0.602 0.466 0.203
0.759 0.759 0.759
0.797 0.398 0.534
0.018 0.318 0.900
0.100 0.982 0.682
0.318 0.900 0.018
0.682 0.100 0.982
0.900 0.018 0.318
0.982 0.682 0.100
0.500 0.500 0.500
```

***

(2)
Entry from the Alexandria database: crystalline Ba4Na3 at its relaxed geometry (PBE-GGA).

Results
ΔE to the lowest computed polymorph	0	meV per atom
DOS(E_F)	8.13	states/eV/cell
space-group type	I4/mmm, No. 139

Geometry as POSCAR:
```
Ba4Na3
1.0
-2.085 2.085 22.934
2.085 -2.085 22.934
2.085 2.085 -22.934
Ba Na
4 3
direct
0.063 0.063 0.000
0.362 0.362 0.000
0.638 0.638 0.000
0.937 0.937 0.000
0.275 0.275 0.000
0.500 0.500 0.000
0.725 0.725 0.000
```

***

(3)
Entry from the Alexandria database: crystalline Pm2Fe2Sn2C at its relaxed geometry (PBE-GGA).

Results
DOS(E_F)	5.13	states/eV/cell
energy	-6.63	eV/atom
space-group type	C2/m, No. 12

Geometry as POSCAR:
```
Pm2Fe2Sn2C
1.0
5.727 -2.102 0.000
5.727 2.102 0.000
-4.585 0.000 5.754
Pm Fe Sn C
2 2 2 1
direct
0.047 0.047 0.271
0.953 0.953 0.729
0.320 0.320 0.925
0.680 0.680 0.075
0.331 0.331 0.287
0.669 0.669 0.713
0.500 0.500 0.000
```